ErTm3Pd2 after structural relaxation, computed with PBE.

The formation energy comes out at -0.53 eV per atom. For the excess energy over the best structure of this formula in the dataset, the calculation gives 0.100 eV per atom.

```
data_ErTm3Pd2
_cell_length_a 6.8385
_cell_length_b 13.4950
_cell_length_c 7.0358
_cell_angle_alpha 90.00
_cell_angle_beta 90.00
_cell_angle_gamma 90.00
_symmetry_space_group_name_H-M 'I b a m'
_symmetry_Int_Tables_number 72
_symmetry_space_group_name_Hall '-I 2 2c'
loop_
_atom_site_label
_atom_site_fract_x
_atom_site_fract_y
_atom_site_fract_z
Er1 0.0000 0.0000 0.0000
Tm1 0.0000 0.2326 0.2500
Tm2 0.0000 0.5000 0.2500
Pd1 0.2080 0.3594 0.0000
```